Computed, not measured: a geometry-optimized Ta2CoPt structure at the PBE-GGA level of DFT.

Calculated values
VASP energy ... -9.5607 eV per atom
Mass density ... 16.56 Mg/m³
Symmetry ... Cmmm
Energy of formation ... -348 meV/atom

Cell: 4.826 4.826 2.808 Å, 89.99 89.99 109.25°
Atoms (fractional coordinates):
Ta 0.500 0.500 0.000
Pt 0.000 0.500 0.500
Ta 0.000 0.000 0.000
Co 0.500 0.000 0.500